[1]
Compound: Hf2MnAl4
Source: Alexandria
Functional: PBE
Structure: relaxed

Unit cell a=7.569 b=7.569 c=7.569 alpha=146.35 beta=146.35 gamma=48.33
Fractional coordinates of all 7 atoms:
Hf1 0.133 0.133 0.000
Hf2 0.867 0.867 0.000
Mn1 0.500 0.500 0.000
Al1 0.000 0.500 0.500
Al2 0.329 0.329 0.000
Al3 0.500 0.000 0.500
Al4 0.671 0.671 0.000

## Properties
Its formation energy is 213 meV/atom. The value obtained for the total energy is -6.08 eV per atom. For the density of states at the Fermi level, the calculation gives 4.14 states/eV/f.u.



[2]
Compound: Hf5Mn4Al
Source: Alexandria
Functional: PBE
Structure: relaxed

Unit cell a=3.197 b=3.197 c=16.119 alpha=90.00 beta=90.00 gamma=90.00
Fractional coordinates of all 10 atoms:
Hf1 0.000 0.000 0.000
Hf2 0.000 0.000 0.196
Hf3 0.000 0.000 0.386
Hf4 0.000 0.000 0.614
Hf5 0.000 0.000 0.804
Mn1 0.500 0.500 0.097
Mn2 0.500 0.500 0.297
Mn3 0.500 0.500 0.703
Mn4 0.500 0.500 0.903
Al1 0.500 0.500 0.500

## Properties
Its formation energy is -198 meV/atom. The value obtained for the total energy is -9.22 eV per atom. For the density of states at the Fermi level, the calculation gives 10.00 states/eV/f.u.



[3]
Compound: Hf2MnAl2
Source: Alexandria
Functional: PBE
Structure: relaxed

Unit cell a=6.697 b=6.697 c=3.893 alpha=90.00 beta=90.00 gamma=90.00
Fractional coordinates of all 10 atoms:
Hf1 0.172 0.328 0.000
Hf2 0.328 0.828 0.000
Hf3 0.672 0.172 0.000
Hf4 0.828 0.672 0.000
Mn1 0.000 0.000 0.500
Mn2 0.500 0.500 0.500
Al1 0.134 0.634 0.500
Al2 0.366 0.134 0.500
Al3 0.634 0.866 0.500
Al4 0.866 0.366 0.500

## Properties
Its formation energy is -143 meV/atom. The value obtained for the total energy is -7.46 eV per atom. For the density of states at the Fermi level, the calculation gives 2.62 states/eV/f.u.



[4]
Compound: HfMnAl4
Source: Alexandria
Functional: PBE
Structure: relaxed

Unit cell a=7.317 b=7.317 c=5.111 alpha=110.42 beta=110.42 gamma=52.34
Fractional coordinates of all 12 atoms:
Hf1 0.216 0.216 0.217
Hf2 0.784 0.784 0.783
Mn1 0.500 0.500 0.272
Mn2 0.500 0.500 0.728
Al1 0.091 0.681 0.386
Al2 0.190 0.810 0.000
Al3 0.319 0.909 0.614
Al4 0.323 0.323 0.825
Al5 0.677 0.677 0.175
Al6 0.681 0.091 0.386
Al7 0.810 0.190 0.000
Al8 0.909 0.319 0.614

## Properties
Its formation energy is -113 meV/atom. The value obtained for the total energy is -5.80 eV per atom. For the density of states at the Fermi level, the calculation gives 3.80 states/eV/f.u.



[5]
Compound: HfMn2Al10
Source: Alexandria
Functional: PBE
Structure: relaxed

Unit cell a=6.723 b=6.723 c=8.895 alpha=90.00 beta=90.00 gamma=97.37
Fractional coordinates of all 26 atoms:
Hf1 0.135 0.865 0.750
Hf2 0.865 0.135 0.250
Mn1 0.000 0.500 0.000
Mn2 0.000 0.500 0.500
Mn3 0.500 0.000 0.000
Mn4 0.500 0.000 0.500
Al1 0.140 0.419 0.750
Al2 0.145 0.855 0.094
Al3 0.145 0.855 0.406
Al4 0.212 0.474 0.250
Al5 0.229 0.229 0.000
Al6 0.229 0.229 0.500
Al7 0.371 0.629 0.540
Al8 0.371 0.629 0.960
Al9 0.419 0.140 0.250
Al10 0.474 0.212 0.750
Al11 0.526 0.788 0.250
Al12 0.581 0.860 0.750
Al13 0.629 0.371 0.040
Al14 0.629 0.371 0.460
Al15 0.771 0.771 0.000
Al16 0.771 0.771 0.500
Al17 0.788 0.526 0.750
Al18 0.855 0.145 0.594
Al19 0.855 0.145 0.906
Al20 0.860 0.581 0.250

## Properties
Its formation energy is -242 meV/atom. The value obtained for the total energy is -5.30 eV per atom. For the density of states at the Fermi level, the calculation gives 7.76 states/eV/f.u.



[6]
Compound: HfMnAl
Source: Alexandria
Functional: PBE
Structure: relaxed

Unit cell a=4.393 b=4.393 c=3.002 alpha=90.00 beta=90.00 gamma=120.00
Fractional coordinates of all 3 atoms:
Hf1 0.000 0.000 0.000
Mn1 0.667 0.333 0.500
Al1 0.333 0.667 0.500

## Properties
Its formation energy is -150 meV/atom. The value obtained for the total energy is -7.77 eV per atom. For the density of states at the Fermi level, the calculation gives 2.89 states/eV/f.u.



[7]
Compound: HfMn2Al2
Source: Alexandria
Functional: PBE
Structure: relaxed

Unit cell a=11.623 b=11.623 c=11.623 alpha=161.39 beta=161.39 gamma=26.44
Fractional coordinates of all 10 atoms:
Hf1 0.117 0.117 0.000
Hf2 0.883 0.883 0.000
Mn1 0.250 0.750 0.500
Mn2 0.431 0.431 0.000
Mn3 0.569 0.569 0.000
Mn4 0.750 0.250 0.500
Al1 0.000 0.500 0.500
Al2 0.324 0.324 0.000
Al3 0.500 0.000 0.500
Al4 0.676 0.676 0.000

## Properties
Its formation energy is -77 meV/atom. The value obtained for the total energy is -7.23 eV per atom. For the density of states at the Fermi level, the calculation gives 4.21 states/eV/f.u.



[8]
Compound: Hf2MnAl3
Source: Alexandria
Functional: PBE
Structure: relaxed

Unit cell a=5.195 b=5.195 c=5.195 alpha=60.66 beta=60.66 gamma=60.66
Fractional coordinates of all 6 atoms:
Hf1 0.128 0.128 0.128
Hf2 0.872 0.872 0.872
Mn1 0.500 0.500 0.500
Al1 0.000 0.500 0.500
Al2 0.500 0.000 0.500
Al3 0.500 0.500 0.000

## Properties
Its formation energy is -415 meV/atom. The value obtained for the total energy is -7.13 eV per atom. For the density of states at the Fermi level, the calculation gives 5.67 states/eV/f.u.



[9]
Compound: HfMnAl
Source: Alexandria
Functional: PBE
Structure: relaxed

Unit cell a=7.676 b=7.676 c=7.676 alpha=158.70 beta=158.70 gamma=30.30
Fractional coordinates of all 3 atoms:
Hf1 0.000 0.000 0.000
Mn1 0.818 0.818 0.000
Al1 0.643 0.643 0.000

## Properties
Its formation energy is 591 meV/atom. The value obtained for the total energy is -7.03 eV per atom. For the density of states at the Fermi level, the calculation gives 3.40 states/eV/f.u.



[10]
Compound: Hf4MnAl
Source: Alexandria
Functional: PBE
Structure: relaxed

Unit cell a=7.148 b=7.148 c=5.420 alpha=100.61 beta=100.61 gamma=113.25
Fractional coordinates of all 12 atoms:
Hf1 0.065 0.713 0.941
Hf2 0.204 0.365 0.640
Hf3 0.287 0.935 0.559
Hf4 0.365 0.204 0.140
Hf5 0.635 0.796 0.860
Hf6 0.713 0.065 0.441
Hf7 0.796 0.635 0.360
Hf8 0.935 0.287 0.059
Mn1 0.001 0.999 0.750
Mn2 0.999 0.001 0.250
Al1 0.378 0.622 0.250
Al2 0.622 0.378 0.750

## Properties
Its formation energy is -127 meV/atom. The value obtained for the total energy is -8.91 eV per atom. For the density of states at the Fermi level, the calculation gives 6.38 states/eV/f.u.



[11]
Compound: Hf2MnAl
Source: Alexandria
Functional: PBE
Structure: relaxed

Unit cell a=5.881 b=5.881 c=5.881 alpha=102.67 beta=102.67 gamma=124.15
Fractional coordinates of all 8 atoms:
Hf1 0.080 0.625 0.955
Hf2 0.375 0.330 0.455
Hf3 0.670 0.125 0.045
Hf4 0.875 0.920 0.545
Mn1 0.000 0.000 0.000
Mn2 0.750 0.250 0.500
Al1 0.250 0.750 0.500
Al2 0.500 0.500 0.000

## Properties
Its formation energy is 336 meV/atom. The value obtained for the total energy is -7.87 eV per atom. For the density of states at the Fermi level, the calculation gives 2.93 states/eV/f.u.



[12]
Compound: HfMnAl
Source: Alexandria
Functional: PBE
Structure: relaxed

Unit cell a=5.117 b=5.117 c=5.117 alpha=119.28 beta=119.15 gamma=91.37
Fractional coordinates of all 6 atoms:
Hf1 0.367 0.117 0.250
Hf2 0.633 0.883 0.750
Mn1 0.000 0.000 0.500
Mn2 0.000 0.500 0.000
Al1 0.000 0.500 0.500
Al2 0.500 0.500 0.000

## Properties
Its formation energy is -342 meV/atom. The value obtained for the total energy is -7.96 eV per atom. For the density of states at the Fermi level, the calculation gives 3.20 states/eV/f.u.



[13]
Compound: HfMnAl2
Source: Alexandria
Functional: PBE
Structure: relaxed

Unit cell a=4.453 b=4.453 c=4.453 alpha=60.00 beta=60.00 gamma=60.00
Fractional coordinates of all 4 atoms:
Hf1 0.000 0.000 0.000
Mn1 0.500 0.500 0.500
Al1 0.250 0.250 0.250
Al2 0.750 0.750 0.750

## Properties
Its formation energy is -50 meV/atom. The value obtained for the total energy is -6.70 eV per atom. For the density of states at the Fermi level, the calculation gives 5.82 states/eV/f.u.



[14]
Compound: HfMn2Al2
Source: Alexandria
Functional: PBE
Structure: relaxed

Unit cell a=7.402 b=7.402 c=2.768 alpha=90.00 beta=90.00 gamma=90.00
Fractional coordinates of all 10 atoms:
Hf1 0.000 0.000 0.000
Hf2 0.500 0.500 0.000
Mn1 0.121 0.379 0.000
Mn2 0.379 0.879 0.000
Mn3 0.621 0.121 0.000
Mn4 0.879 0.621 0.000
Al1 0.172 0.672 0.500
Al2 0.328 0.172 0.500
Al3 0.672 0.828 0.500
Al4 0.828 0.328 0.500

## Properties
Its formation energy is -158 meV/atom. The value obtained for the total energy is -7.31 eV per atom. For the density of states at the Fermi level, the calculation gives 3.17 states/eV/f.u.



[15]
Compound: HfMn2Al
Source: Alexandria
Functional: PBE
Structure: relaxed

Unit cell a=5.643 b=5.643 c=5.643 alpha=103.60 beta=103.60 gamma=122.00
Fractional coordinates of all 8 atoms:
Hf1 0.000 0.000 0.000
Hf2 0.750 0.250 0.500
Mn1 0.145 0.625 0.020
Mn2 0.375 0.395 0.520
Mn3 0.605 0.125 0.980
Mn4 0.875 0.855 0.480
Al1 0.250 0.750 0.500
Al2 0.500 0.500 0.000

## Properties
Its formation energy is 389 meV/atom. The value obtained for the total energy is -7.62 eV per atom. For the density of states at the Fermi level, the calculation gives 4.79 states/eV/f.u.



[16]
Compound: HfMnAl2
Source: Alexandria
Functional: PBE
Structure: relaxed

Unit cell a=10.082 b=10.082 c=10.082 alpha=158.23 beta=158.23 gamma=30.98
Fractional coordinates of all 8 atoms:
Hf1 0.000 0.000 0.000
Hf2 0.750 0.250 0.500
Mn1 0.250 0.750 0.500
Mn2 0.500 0.500 0.000
Al1 0.137 0.625 0.012
Al2 0.375 0.387 0.512
Al3 0.613 0.125 0.988
Al4 0.875 0.863 0.488

## Properties
Its formation energy is 234 meV/atom. The value obtained for the total energy is -6.42 eV per atom. For the density of states at the Fermi level, the calculation gives 2.61 states/eV/f.u.



[17]
Compound: Hf3MnAl
Source: Alexandria
Functional: PBE
Structure: relaxed

Unit cell a=4.760 b=4.760 c=4.760 alpha=90.00 beta=90.00 gamma=90.00
Fractional coordinates of all 5 atoms:
Hf1 0.000 0.000 0.500
Hf2 0.000 0.500 0.000
Hf3 0.500 0.000 0.000
Mn1 0.000 0.000 0.000
Al1 0.500 0.500 0.500

## Properties
Its formation energy is 359 meV/atom. The value obtained for the total energy is -8.20 eV per atom. For the density of states at the Fermi level, the calculation gives 9.76 states/eV/f.u.



[18]
Compound: Hf2MnAl6
Source: Alexandria
Functional: PBE
Structure: relaxed

Unit cell a=5.504 b=5.504 c=5.799 alpha=90.00 beta=90.00 gamma=120.00
Fractional coordinates of all 9 atoms:
Hf1 0.333 0.667 0.114
Hf2 0.667 0.333 0.886
Mn1 0.000 0.000 0.000
Al1 0.172 0.344 0.687
Al2 0.172 0.828 0.687
Al3 0.344 0.172 0.313
Al4 0.656 0.828 0.687
Al5 0.828 0.172 0.313
Al6 0.828 0.656 0.313

## Properties
Its formation energy is -253 meV/atom. The value obtained for the total energy is -5.98 eV per atom. For the density of states at the Fermi level, the calculation gives 4.93 states/eV/f.u.



[19]
Compound: Hf3Mn8Al
Source: Alexandria
Functional: PBE
Structure: relaxed

Unit cell a=8.438 b=8.438 c=8.438 alpha=33.59 beta=33.59 gamma=33.59
Fractional coordinates of all 12 atoms:
Hf1 0.000 0.000 0.000
Hf2 0.127 0.127 0.127
Hf3 0.622 0.622 0.622
Mn1 0.061 0.061 0.560
Mn2 0.061 0.560 0.061
Mn3 0.067 0.562 0.562
Mn4 0.312 0.312 0.312
Mn5 0.560 0.061 0.061
Mn6 0.562 0.067 0.562
Mn7 0.562 0.562 0.067
Mn8 0.812 0.812 0.812
Al1 0.499 0.499 0.499

## Properties
Its formation energy is -233 meV/atom. The value obtained for the total energy is -9.15 eV per atom. For the density of states at the Fermi level, the calculation gives 11.86 states/eV/f.u.



[20]
Compound: Hf5Mn2Al
Source: Alexandria
Functional: PBE
Structure: relaxed

Unit cell a=7.924 b=7.924 c=7.924 alpha=127.83 beta=127.83 gamma=76.91
Fractional coordinates of all 16 atoms:
Hf1 0.000 0.000 0.000
Hf2 0.018 0.518 0.829
Hf3 0.189 0.018 0.500
Hf4 0.311 0.811 0.829
Hf5 0.482 0.311 0.500
Hf6 0.500 0.500 0.000
Hf7 0.518 0.689 0.500
Hf8 0.689 0.189 0.171
Hf9 0.811 0.982 0.500
Hf10 0.982 0.482 0.171
Mn1 0.111 0.389 0.500
Mn2 0.389 0.889 0.278
Mn3 0.611 0.111 0.722
Mn4 0.889 0.611 0.500
Al1 0.250 0.250 0.000
Al2 0.750 0.750 0.000

## Properties
Its formation energy is -80 meV/atom. The value obtained for the total energy is -9.06 eV per atom. For the density of states at the Fermi level, the calculation gives 10.37 states/eV/f.u.



[21]
Compound: HfMn2Al
Source: Alexandria
Functional: PBE
Structure: relaxed

Unit cell a=4.222 b=4.222 c=3.256 alpha=90.00 beta=90.00 gamma=90.00
Fractional coordinates of all 4 atoms:
Hf1 0.000 0.000 0.000
Mn1 0.000 0.500 0.500
Mn2 0.500 0.000 0.500
Al1 0.500 0.500 0.000

## Properties
Its formation energy is -221 meV/atom. The value obtained for the total energy is -8.23 eV per atom. For the density of states at the Fermi level, the calculation gives 1.70 states/eV/f.u.



[22]
Compound: HfMn5Al
Source: Alexandria
Functional: PBE
Structure: relaxed

Unit cell a=7.909 b=4.666 c=9.990 alpha=90.00 beta=90.00 gamma=90.00
Fractional coordinates of all 28 atoms:
Hf1 0.239 0.250 0.061
Hf2 0.261 0.750 0.561
Hf3 0.739 0.250 0.439
Hf4 0.761 0.750 0.939
Mn1 0.050 0.750 0.101
Mn2 0.072 0.019 0.313
Mn3 0.072 0.481 0.313
Mn4 0.089 0.250 0.532
Mn5 0.192 0.250 0.749
Mn6 0.308 0.750 0.249
Mn7 0.411 0.750 0.032
Mn8 0.428 0.519 0.813
Mn9 0.428 0.981 0.813
Mn10 0.450 0.250 0.601
Mn11 0.550 0.750 0.399
Mn12 0.572 0.019 0.187
Mn13 0.572 0.481 0.187
Mn14 0.589 0.250 0.968
Mn15 0.692 0.250 0.751
Mn16 0.808 0.750 0.251
Mn17 0.911 0.750 0.468
Mn18 0.928 0.519 0.687
Mn19 0.928 0.981 0.687
Mn20 0.950 0.250 0.899
Al1 0.133 0.750 0.860
Al2 0.367 0.250 0.360
Al3 0.633 0.750 0.640
Al4 0.867 0.250 0.140

## Properties
Its formation energy is -161 meV/atom. The value obtained for the total energy is -8.67 eV per atom. For the density of states at the Fermi level, the calculation gives 6.93 states/eV/f.u.